The following is a GGA-PBE calculation of YSbTe2S after structural relaxation, from Alexandria.

Computed properties:
**Distance to the lowest polymorph of the same formula**: 19 meV per atom
**Energy**: -4.267 eV per atom

Cell lengths 5.5070, 5.0692, 5.5070 Å; angles 90.00, 90.00, 90.00 degrees
Atoms (fractional coordinates):
Y: 0.0000 0.5000 0.0000
Sb: 0.5000 0.5000 0.5000
S: 0.0000 0.0000 0.0000
Te: 0.0000 0.0000 0.5000
Te: 0.5000 0.0000 0.0000